Here is an optimized crystal structure of ErU2Cr2C4 from the Alexandria database. Energies are from PBE.

Cell and atoms, written as POSCAR:
```
ErU2Cr2C4
1.0
6.492 -1.603 0.000
6.492 1.603 0.000
-1.771 0.000 5.638
Er U Cr C
1 2 2 4
Cartesian
0.000 0.000 0.000
0.714 0.000 3.021
10.499 0.000 2.616
2.346 0.000 5.589
8.867 0.000 0.049
2.560 0.000 1.293
5.412 0.000 1.467
5.801 0.000 4.170
8.653 0.000 4.345
```

## Properties
Formation energy: -32 kJ/mol of formula units
Space-group type: No. 12
Energy: -83.62 eV/f.u.
DOS at the Fermi energy: 10.71 states/eV per cell

---

Here is an optimized crystal structure of Er2UCr2C4 from the Alexandria database. Energies are from PBE.

Cell and atoms, written as POSCAR:
```
Er2UCr2C4
1.0
6.314 -1.672 0.000
6.314 1.672 0.000
-1.987 0.000 5.658
Er U Cr C
2 1 2 4
Cartesian
1.632 0.000 0.262
9.007 0.000 5.396
-0.994 0.000 2.829
3.021 0.000 2.885
7.618 0.000 2.773
1.366 0.000 4.021
4.444 0.000 4.269
6.196 0.000 1.389
9.273 0.000 1.637
```

## Properties
Formation energy: -85 kJ/mol of formula units
Space-group type: No. 12
Energy: -77.44 eV/f.u.
DOS at the Fermi energy: 7.79 states/eV per cell

---

Here is an optimized crystal structure of Er2UCrC4 from the Alexandria database. Energies are from PBE.

Cell and atoms, written as POSCAR:
```
Er2UCrC4
1.0
1.705 -5.725 0.000
1.705 5.725 0.000
0.000 0.000 11.871
Er U Cr C
4 2 2 8
Cartesian
1.705 4.220 6.469
1.705 4.220 11.336
1.705 -4.220 0.534
1.705 -4.220 5.401
1.705 1.092 8.903
1.705 -1.092 2.968
1.705 1.940 2.968
1.705 -1.940 8.903
1.705 4.912 8.903
1.705 3.131 1.628
1.705 3.131 4.308
1.705 0.000 0.000
1.705 0.000 5.935
1.705 -3.131 7.563
1.705 -3.131 10.243
1.705 -4.912 2.968
```

## Properties
Formation energy: -1 kJ/mol of formula units
Space-group type: No. 63
Energy: -66.94 eV/f.u.
DOS at the Fermi energy: 10.45 states/eV per cell